(1)
Material: Tc2TeIr
Method: DFT, PBEsol
State: relaxed

a b c (Å): 2.985 2.985 6.948
angles (deg): 90.00 90.00 90.00
Space group P4/mmm (No. 123)
Unique sites:
Tc 0.000 0.000 0.249 [2 per cell]
Te 0.500 0.500 0.000 [1 per cell]
Ir 0.500 0.500 0.500 [1 per cell]

Properties
E_form (uncorrected) = 0.39 eV per atom
calculated volume = 62 Å³ per cell
DOS at the Fermi energy = 5.387 states/eV/f.u.


(2)
Material: KTi3NbO9
Method: DFT, PBEsol
State: relaxed

a b c (Å): 3.796 6.385 14.947
angles (deg): 90.00 90.00 90.00
Space group Pmn2_1 (No. 31)
Unique sites:
K 0.000 0.243 0.000 [2 per cell]
Ti 0.000 0.230 0.376 [2 per cell]
Ti 0.000 0.680 0.301 [2 per cell]
Ti 0.000 0.692 0.717 [2 per cell]
Nb 0.000 0.241 0.623 [2 per cell]
O 0.000 0.168 0.502 [2 per cell]
O 0.000 0.346 0.245 [2 per cell]
O 0.000 0.357 0.766 [2 per cell]
O 0.000 0.528 0.403 [2 per cell]
O 0.000 0.545 0.607 [2 per cell]
O 0.000 0.755 0.158 [2 per cell]
O 0.000 0.765 0.850 [2 per cell]
O 0.000 0.935 0.348 [2 per cell]
O 0.000 0.944 0.666 [2 per cell]

Properties
E_form (uncorrected) = -2.84 eV per atom
calculated volume = 362 Å³ per cell
DOS at the Fermi energy = 0.000 states/eV/f.u.